1.
# Re2PdRh, relaxed, DFT PBE
# total magnetic moment: 0.022 μB per cell
# energy of formation: 625.3 meV per atom
# energy relative to the lowest polymorph listed for this composition: 552.9 meV per atom
# total DFT energy (no corrections): -8.73 eV/atom
data_Re2PdRh
_chemical_formula_sum 'Re8 Pd4 Rh4'
_space_group_name_H-M_alt 'F m -3 m'
_space_group_IT_number 225
_space_group_name_Hall '-F 4 2 3'
_cell_length_a 6.222
_cell_length_b 6.222
_cell_length_c 6.222
_cell_angle_alpha 90.00
_cell_angle_beta 90.00
_cell_angle_gamma 90.00
loop_
_atom_site_label
_atom_site_fract_x
_atom_site_fract_y
_atom_site_fract_z
Re1 0.250 0.250 0.250
Pd1 0.000 0.000 0.000
Rh1 0.000 0.000 0.500

2.
# AsRhSe2, relaxed, DFT PBE
# total magnetic moment: 0.000 μB per cell
# total DFT energy (no corrections): -4.75 eV/atom
data_AsRhSe2
_chemical_formula_sum 'As2 Rh2 Se4'
_space_group_name_H-M_alt 'C 1 2/m 1'
_space_group_IT_number 12
_space_group_name_Hall '-C 2y'
_cell_length_a 6.453
_cell_length_b 3.736
_cell_length_c 6.685
_cell_angle_alpha 90.00
_cell_angle_beta 108.62
_cell_angle_gamma 90.00
loop_
_atom_site_label
_atom_site_fract_x
_atom_site_fract_y
_atom_site_fract_z
As1 0.000 0.000 0.000
Rh1 0.000 0.500 0.500
Se1 0.240 0.000 0.724

3.
# NpAlIr2, relaxed, DFT PBE
# total magnetic moment: 8.565 μB per cell
# energy of formation: -467.9 meV per atom
# energy relative to the lowest polymorph listed for this composition: 104.2 meV per atom
# total DFT energy (no corrections): -9.07 eV/atom
data_NpAlIr2
_chemical_formula_sum 'Np3 Al3 Ir6'
_space_group_name_H-M_alt 'R -3 m'
_space_group_IT_number 166
_space_group_name_Hall '-R 3 2"'
_cell_length_a 4.2842
_cell_length_b 4.2842
_cell_length_c 13.4143
_cell_angle_alpha 90.00
_cell_angle_beta 90.00
_cell_angle_gamma 120.00
loop_
_atom_site_label
_atom_site_fract_x
_atom_site_fract_y
_atom_site_fract_z
Np1 0.0000 0.0000 0.0000
Al1 0.0000 0.0000 0.5000
Ir1 0.0000 0.0000 0.2252

4.
# CrCoIr2, relaxed, DFT PBE
# total magnetic moment: 4.058 μB per cell
# energy of formation: 227.8 meV per atom
# total DFT energy (no corrections): -8.38 eV/atom
data_CrCoIr2
_chemical_formula_sum 'Cr2 Co2 Ir4'
_space_group_name_H-M_alt 'C m m m'
_space_group_IT_number 65
_space_group_name_Hall '-C 2 2'
_cell_length_a 2.749
_cell_length_b 4.508
_cell_length_c 8.728
_cell_angle_alpha 90.00
_cell_angle_beta 90.00
_cell_angle_gamma 90.00
loop_
_atom_site_label
_atom_site_fract_x
_atom_site_fract_y
_atom_site_fract_z
Cr1 0.000 0.000 0.000
Co1 0.000 0.000 0.500
Ir1 0.000 0.500 0.247

no.,N(E_F) (states/eV/atom),volume (Å³ per atom)
1,2.18,15.06
2,0.62,19.09
3,1.43,17.77
4,1.45,13.52